1.
Density functional theory data (GGA-PBEsol) for crystalline ZrAg3 at its relaxed geometry. Values from VASP.

Results
Volume (Å³/f.u.): 71
Space-group type: No. 139
Density (g/cm3): 9.72
DFT formation energy (eV per atom): -0.038
Total DFT energy (no corrections) (eV for the cell shown): -38.35

Quantum ESPRESSO input file:
```
&SYSTEM
  ibrav = 0, nat = 8, ntyp = 2
/
ATOMIC_SPECIES
Zr 91.22 Zr.upf
Ag 107.87 Ag.upf
ATOMIC_POSITIONS crystal
Zr 0.0000 0.0000 0.0000
Zr 0.5000 0.5000 0.5000
Ag 0.0000 0.0000 0.5000
Ag 0.0000 0.5000 0.2500
Ag 0.0000 0.5000 0.7500
Ag 0.5000 0.0000 0.2500
Ag 0.5000 0.0000 0.7500
Ag 0.5000 0.5000 0.0000
CELL_PARAMETERS angstrom
4.3565 0.0000 0.0000
0.0000 4.3565 0.0000
0.0000 0.0000 7.4693
```

2.
Density functional theory data (GGA-PBEsol) for crystalline PtAu2 at its relaxed geometry. Values from VASP.

Results
Volume (Å³/f.u.): 50
Space-group type: No. 194
Density (g/cm3): 19.69
DFT formation energy (eV per atom): 0.149
Excess energy over the best structure of this formula in the dataset (eV/atom): 0.113
Total DFT energy (no corrections) (eV for the cell shown): -28.73

Quantum ESPRESSO input file:
```
&SYSTEM
  ibrav = 0, nat = 6, ntyp = 2
/
ATOMIC_SPECIES
Pt 195.08 Pt.upf
Au 196.97 Au.upf
ATOMIC_POSITIONS crystal
Pt 0.3333 0.6667 0.2500
Pt 0.6667 0.3333 0.7500
Au 0.0000 0.0000 0.0000
Au 0.0000 0.0000 0.5000
Au 0.3333 0.6667 0.7500
Au 0.6667 0.3333 0.2500
CELL_PARAMETERS angstrom
4.5761 0.0000 0.0000
-2.2881 3.9630 0.0000
0.0000 0.0000 5.4773
```

3.
Density functional theory data (GGA-PBEsol) for crystalline Ag2C3 at its relaxed geometry. Values from VASP.

Results
Volume (Å³/f.u.): 88
Space-group type: No. 70
Density (g/cm3): 4.76
DFT formation energy (eV per atom): 1.267
Total DFT energy (no corrections) (eV for the cell shown): -58.43

Quantum ESPRESSO input file:
```
&SYSTEM
  ibrav = 0, nat = 10, ntyp = 2
/
ATOMIC_SPECIES
Ag 107.87 Ag.upf
C 12.01 C.upf
ATOMIC_POSITIONS crystal
Ag 0.1015 0.1015 0.6485
Ag 0.3515 0.3515 0.8985
Ag 0.6485 0.6485 0.1015
Ag 0.8985 0.8985 0.3515
C 0.0088 0.2412 0.0088
C 0.1250 0.1250 0.1250
C 0.2412 0.0088 0.2412
C 0.7588 0.9912 0.7588
C 0.8750 0.8750 0.8750
C 0.9912 0.7588 0.9912
CELL_PARAMETERS angstrom
0.0000 5.6360 5.6463
2.7583 0.0000 5.6463
2.7583 5.6360 0.0000
```

4.
Density functional theory data (GGA-PBEsol) for crystalline BaFe2GeTe at its relaxed geometry. Values from VASP.

Results
Volume (Å³/f.u.): 137
Space-group type: No. 123
Density (g/cm3): 5.44
Raw formation energy (eV per formula unit): 9.60
Total DFT energy (no corrections) (eV for the cell shown): -18.95

Quantum ESPRESSO input file:
```
&SYSTEM
  ibrav = 0, nat = 5, ntyp = 4
/
ATOMIC_SPECIES
Ba 137.33 Ba.upf
Fe 55.84 Fe.upf
Ge 72.64 Ge.upf
Te 127.60 Te.upf
ATOMIC_POSITIONS crystal
Ba 0.0000 0.0000 0.0000
Fe 0.0000 0.5000 0.0000
Fe 0.5000 0.0000 0.0000
Ge 0.0000 0.0000 0.5000
Te 0.5000 0.5000 0.5000
CELL_PARAMETERS angstrom
4.9120 0.0000 0.0000
0.0000 4.9120 0.0000
0.0000 0.0000 5.6794
```

5.
Density functional theory data (GGA-PBEsol) for crystalline LaAs2SeN at its relaxed geometry. Values from VASP.

Results
Volume (Å³/f.u.): 92
Space-group type: No. 123
Density (g/cm3): 6.91
Raw formation energy (eV per formula unit): -0.95
Total DFT energy (no corrections) (eV for the cell shown): -28.88

Quantum ESPRESSO input file:
```
&SYSTEM
  ibrav = 0, nat = 5, ntyp = 4
/
ATOMIC_SPECIES
La 138.91 La.upf
As 74.92 As.upf
Se 78.96 Se.upf
N 14.01 N.upf
ATOMIC_POSITIONS crystal
La 0.0000 0.0000 0.0000
As 0.0000 0.5000 0.5000
As 0.5000 0.0000 0.5000
Se 0.5000 0.5000 0.0000
N 0.5000 0.5000 0.5000
CELL_PARAMETERS angstrom
4.3912 0.0000 0.0000
0.0000 4.3912 0.0000
0.0000 0.0000 4.7596
```

6.
Density functional theory data (GGA-PBEsol) for crystalline CuIr2Pt at its relaxed geometry. Values from VASP.

Results
Volume (Å³/f.u.): 55
Space-group type: No. 160
Density (g/cm3): 19.39
DFT formation energy (eV per atom): 0.020
Excess energy over the best structure of this formula in the dataset (eV/atom): 0.000
Total DFT energy (no corrections) (eV for the cell shown): -92.59

Quantum ESPRESSO input file:
```
&SYSTEM
  ibrav = 0, nat = 12, ntyp = 3
/
ATOMIC_SPECIES
Cu 63.55 Cu.upf
Ir 192.22 Ir.upf
Pt 195.08 Pt.upf
ATOMIC_POSITIONS crystal
Cu 0.0000 0.0000 0.0000
Cu 0.3333 0.6667 0.6667
Cu 0.6667 0.3333 0.3333
Ir 0.0000 0.0000 0.4972
Ir 0.0000 0.0000 0.7477
Ir 0.3333 0.6667 0.1639
Ir 0.3333 0.6667 0.4143
Ir 0.6667 0.3333 0.0810
Ir 0.6667 0.3333 0.8305
Pt 0.0000 0.0000 0.2519
Pt 0.3333 0.6667 0.9185
Pt 0.6667 0.3333 0.5852
CELL_PARAMETERS angstrom
2.7071 0.0000 0.0000
-1.3535 2.3444 0.0000
0.0000 0.0000 26.0343
```

7.
Density functional theory data (GGA-PBEsol) for crystalline CaTlAg2Pd at its relaxed geometry. Values from VASP.

Results
Volume (Å³/f.u.): 129
Space-group type: No. 123
Density (g/cm3): 7.30
DFT formation energy (eV per atom): 0.105
Total DFT energy (no corrections) (eV for the cell shown): -16.82

Quantum ESPRESSO input file:
```
&SYSTEM
  ibrav = 0, nat = 5, ntyp = 4
/
ATOMIC_SPECIES
Ca 40.08 Ca.upf
Tl 204.38 Tl.upf
Ag 107.87 Ag.upf
Pd 106.42 Pd.upf
ATOMIC_POSITIONS crystal
Ca 0.0000 0.0000 0.0000
Tl 0.5000 0.5000 0.0000
Ag 0.0000 0.5000 0.5000
Ag 0.5000 0.0000 0.5000
Pd 0.5000 0.5000 0.5000
CELL_PARAMETERS angstrom
5.0711 0.0000 0.0000
0.0000 5.0711 0.0000
0.0000 0.0000 5.0110
```

8.
Density functional theory data (GGA-PBEsol) for crystalline HfBeAl3 at its relaxed geometry. Values from VASP.

Results
Volume (Å³/f.u.): 82
Space-group type: No. 221
Density (g/cm3): 5.45
DFT formation energy (eV per atom): 0.391
Total DFT energy (no corrections) (eV for the cell shown): -24.82

Quantum ESPRESSO input file:
```
&SYSTEM
  ibrav = 0, nat = 5, ntyp = 3
/
ATOMIC_SPECIES
Hf 178.49 Hf.upf
Be 9.01 Be.upf
Al 26.98 Al.upf
ATOMIC_POSITIONS crystal
Hf 0.0000 0.0000 0.0000
Be 0.5000 0.5000 0.5000
Al 0.0000 0.5000 0.5000
Al 0.5000 0.0000 0.5000
Al 0.5000 0.5000 0.0000
CELL_PARAMETERS angstrom
4.3414 0.0000 0.0000
0.0000 4.3414 0.0000
0.0000 0.0000 4.3414
```